Entry 1:
Entry from the Open Quantum Materials Database: CsThTl after structural relaxation (PBE-GGA).

The structure belongs to space group F-43m (No. 216); the cell edges are 8.055, 8.055 and 8.055 Å and the angles 90.00°, 90.00° and 90.00°. The inequivalent atoms are Cs at (0.000, 0.000, 0.000), Th at (0.000, 0.000, 0.500) and Tl at (0.250, 0.250, 0.250).

For the total energy, the calculation gives -2.706 eV/atom.

***

Entry 2:
Entry from the Open Quantum Materials Database: LaNbAl after structural relaxation (PBE-GGA).

The structure belongs to space group F-43m (No. 216); the cell edges are 7.044, 7.044 and 7.044 Å and the angles 90.00°, 90.00° and 90.00°. The inequivalent atoms are La at (0.000, 0.000, 0.000), Nb at (0.250, 0.250, 0.250) and Al at (0.250, 0.250, 0.750).

For the total energy, the calculation gives -5.133 eV/atom.

***

Entry 3:
Entry from the Open Quantum Materials Database: SrAlAg2Pd2 after structural relaxation (PBE-GGA).

The structure belongs to space group Cmmm (No. 65); the cell edges are 5.705, 9.101 and 4.540 Å and the angles 90.00°, 90.00° and 90.00°. The inequivalent atoms are Sr at (0.000, 0.000, 0.000), Al at (0.000, 0.500, 0.500), Ag at (0.000, 0.342, 0.000) and Pd at (0.250, 0.250, 0.500).

For the total energy, the calculation gives -4.051 eV/atom.

***

Entry 4:
Entry from the Open Quantum Materials Database: SrLaTm after structural relaxation (PBE-GGA).

The structure belongs to space group F-43m (No. 216); the cell edges are 8.187, 8.187 and 8.187 Å and the angles 90.00°, 90.00° and 90.00°. The inequivalent atoms are Sr at (0.000, 0.000, 0.000), La at (0.000, 0.000, 0.500) and Tm at (0.250, 0.250, 0.750).

For the total energy, the calculation gives -2.952 eV/atom.